Arrangement one

Material: Tb5Er4Al
Method: DFT, PBE-GGA
State: relaxed

Values from the calculation:
Magnetization   0.00 μB per formula unit
Space group   I4mm (107)

Cell: 5.663 7.954 7.954 Å, 82.72 69.14 69.14°
Sites, in units of the cell vectors:
Tb  0.147  0.633  0.000
Tb  0.656  0.000  0.000
Tb  0.780  0.000  0.367
Tb  0.147  0.000  0.633
Tb  0.780  0.367  0.000
Er  0.457  0.316  0.684
Er  0.141  0.316  0.316
Er  0.773  0.684  0.684
Er  0.457  0.684  0.316
Al  0.174  0.000  0.000

=====

Arrangement two

Material: Tb5Er4Al
Method: DFT, PBE-GGA
State: relaxed

Values from the calculation:
Magnetization   0.00 μB per formula unit
Space group   Pmmm (47)

Cell: 3.524 3.540 23.925 Å, 90.00 90.00 90.00°
Sites, in units of the cell vectors:
Al  0.000  0.000  0.000
Er  0.000  0.000  0.812
Er  0.000  0.000  0.188
Er  0.000  0.000  0.396
Er  0.000  0.000  0.604
Tb  0.500  0.500  0.081
Tb  0.500  0.500  0.919
Tb  0.500  0.500  0.709
Tb  0.500  0.500  0.500
Tb  0.500  0.500  0.291

=====

Verdict on stability: arrangement two comes out on top.

=====

Arrangement one

Material: TbErAlTl
Method: DFT, PBE-GGA
State: relaxed

Values from the calculation:
Magnetization   0.00 μB per formula unit
Space group   F-43m (216)

Cell: 5.236 5.236 5.236 Å, 60.00 60.00 60.00°
Sites, in units of the cell vectors:
Al  0.500  0.500  0.500
Tb  0.750  0.750  0.750
Er  0.250  0.250  0.250
Tl  0.000  0.000  0.000

=====

Arrangement two

Material: TbErAlTl
Method: DFT, PBE-GGA
State: relaxed

Values from the calculation:
Magnetization   0.00 μB per formula unit
Space group   P4mm (99)

Cell: 3.619 3.619 7.737 Å, 90.00 90.00 90.00°
Sites, in units of the cell vectors:
Tb  0.000  0.000  0.842
Tl  0.500  0.500  0.111
Er  0.000  0.000  0.372
Al  0.500  0.500  0.603

=====

Verdict on stability: arrangement two comes out on top.

=====

Arrangement one

Material: TbErTmAl
Method: DFT, PBE-GGA
State: relaxed

Values from the calculation:
Magnetization   0.01 μB per formula unit
Space group   F-43m (216)

Cell: 5.310 5.310 5.310 Å, 60.00 60.00 60.00°
Sites, in units of the cell vectors:
Tm  0.750  0.750  0.750
Tb  0.000  0.000  0.000
Er  0.500  0.500  0.500
Al  0.250  0.250  0.250

=====

Arrangement two

Material: TbErTmAl
Method: DFT, PBE-GGA
State: relaxed

Values from the calculation:
Magnetization   0.00 μB per formula unit
Space group   Pmmm (47)

Cell: 4.718 4.740 4.729 Å, 90.00 90.00 90.00°
Sites, in units of the cell vectors:
Al  0.500  0.500  0.000
Er  0.000  0.000  0.000
Tm  0.500  0.000  0.500
Tb  0.000  0.500  0.500

=====

Verdict on stability: arrangement two comes out on top.

=====

Arrangement one

Material: TbErAlZn
Method: DFT, PBE-GGA
State: relaxed

Values from the calculation:
Magnetization   0.00 μB per formula unit
Space group   F-43m (216)

Cell: 5.068 5.068 5.068 Å, 60.00 60.00 60.00°
Sites, in units of the cell vectors:
Al  0.500  0.500  0.500
Tb  0.750  0.750  0.750
Er  0.250  0.250  0.250
Zn  0.000  0.000  0.000

=====

Arrangement two

Material: TbErAlZn
Method: DFT, PBE-GGA
State: relaxed

Values from the calculation:
Magnetization   0.00 μB per formula unit
Space group   P4mm (99)

Cell: 3.560 3.560 7.226 Å, 90.00 90.00 90.00°
Sites, in units of the cell vectors:
Zn  0.000  0.000  0.350
Al  0.000  0.000  0.862
Er  0.500  0.500  0.113
Tb  0.500  0.500  0.603

=====

Verdict on stability: arrangement two comes out on top.